1.
First-principles (GGA-PBE) data for a relaxed YPd3O6 crystal, as listed in Alexandria via LeMat-Bulk.

Calculated values
Volume: 12.523 Å³ per atom
DFT total energy: -6.38 eV/atom

Lattice parameters (Å, degrees): 7.132 10.140 3.463 90.00 90.00 90.00
Space group Cmmm (No. 65)
Inequivalent atoms, fractional coordinates:
1 Y 0.000 0.000 0.000 [2 per cell]
2 Pd 0.000 0.500 0.000 [2 per cell]
3 Pd 0.250 0.250 0.500 [4 per cell]
4 O 0.000 0.152 0.500 [4 per cell]
5 O 0.210 0.370 0.000 [8 per cell]

2.
First-principles (GGA-PBE) data for a relaxed Y2PdO2 crystal, as listed in Alexandria via LeMat-Bulk.

Calculated values
Volume: 18.087 Å³ per atom
DFT total energy: -8.11 eV/atom

Lattice parameters (Å, degrees): 3.839 3.839 12.272 90.00 90.00 90.00
Space group I4/mmm (No. 139)
Inequivalent atoms, fractional coordinates:
1 Y 0.000 0.000 0.157 [4 per cell]
2 Pd 0.000 0.000 0.500 [2 per cell]
3 O 0.000 0.500 0.250 [4 per cell]

3.
First-principles (GGA-PBE) data for a relaxed Y12Pd3O5 crystal, as listed in Alexandria via LeMat-Bulk.

Calculated values
Volume: 22.338 Å³ per atom
DFT total energy: -7.53 eV/atom

Lattice parameters (Å, degrees): 15.289 15.289 15.289 90.00 90.00 90.00
Space group Ia-3d (No. 230)
Inequivalent atoms, fractional coordinates:
1 Y 0.036 0.054 0.650 [96 per cell]
2 Pd 0.000 0.250 0.125 [24 per cell]
3 O 0.000 0.000 0.000 [16 per cell]
4 O 0.000 0.250 0.375 [24 per cell]

4.
First-principles (GGA-PBE) data for a relaxed Y4PdO crystal, as listed in Alexandria via LeMat-Bulk.

Calculated values
Volume: 25.491 Å³ per atom
DFT total energy: -7.15 eV/atom

Lattice parameters (Å, degrees): 8.817 14.718 6.368 90.00 132.24 90.00
Space group C2/c (No. 15)
Inequivalent atoms, fractional coordinates:
1 Y 0.142 0.199 0.127 [8 per cell]
2 Y 0.227 0.442 0.320 [8 per cell]
3 Pd 0.000 0.380 0.750 [4 per cell]
4 O 0.000 0.111 0.250 [4 per cell]

5.
First-principles (GGA-PBE) data for a relaxed YPd3O crystal, as listed in Alexandria via LeMat-Bulk.

Calculated values
Volume: 16.741 Å³ per atom
DFT total energy: -5.91 eV/atom

Lattice parameters (Å, degrees): 4.374 4.374 4.374 90.00 90.00 90.00
Space group Pm-3m (No. 221)
Inequivalent atoms, fractional coordinates:
1 Y 0.000 0.000 0.000 [1 per cell]
2 Pd 0.000 0.500 0.500 [3 per cell]
3 O 0.500 0.500 0.500 [1 per cell]

6.
First-principles (GGA-PBE) data for a relaxed YPdO2 crystal, as listed in Alexandria via LeMat-Bulk.

Calculated values
Volume: 16.156 Å³ per atom
DFT total energy: -7.14 eV/atom

Lattice parameters (Å, degrees): 4.658 4.658 11.915 90.00 90.00 90.00
Space group I-42d (No. 122)
Inequivalent atoms, fractional coordinates:
1 Y 0.000 0.000 0.000 [4 per cell]
2 Pd 0.000 0.000 0.500 [4 per cell]
3 O 0.238 0.250 0.125 [8 per cell]

7.
First-principles (GGA-PBE) data for a relaxed YPd3O crystal, as listed in Alexandria via LeMat-Bulk.

Calculated values
Volume: 25.671 Å³ per atom
DFT total energy: -4.25 eV/atom

Lattice parameters (Å, degrees): 5.044 5.044 5.044 90.00 90.00 90.00
Space group Pm-3m (No. 221)
Inequivalent atoms, fractional coordinates:
1 Y 0.000 0.000 0.000 [1 per cell]
2 Pd 0.000 0.000 0.500 [3 per cell]
3 O 0.500 0.500 0.500 [1 per cell]

8.
First-principles (GGA-PBE) data for a relaxed Y6Pd2O crystal, as listed in Alexandria via LeMat-Bulk.

Calculated values
Volume: 24.309 Å³ per atom
DFT total energy: -7.07 eV/atom

Lattice parameters (Å, degrees): 6.464 7.016 11.497 90.00 122.94 90.00
Space group P2_1/c (No. 14)
Inequivalent atoms, fractional coordinates:
1 Y 0.122 0.026 0.244 [4 per cell]
2 Y 0.234 0.689 0.058 [4 per cell]
3 Y 0.370 0.181 0.057 [4 per cell]
4 Pd 0.302 0.098 0.753 [4 per cell]
5 O 0.000 0.000 0.000 [2 per cell]

Going through the records in order, we get total moment values of 0.00, 0.00, 29.29, 0.02, 0.00, 4.00, 0.00, 0.00 Bohr magnetons per cell.